(1)
VASP calculation (GGA-PBE) on a geometry-optimized MgCd5Hg7 structure.

Values from the calculation:
- formation enthalpy at 0 K (eV/atom) = -0.001
- theoretical density (g cm⁻³) = 10.3
- density of states at the Fermi level (states/eV/f.u.) = 4.01

a b c (Å): 17.6911 3.3302 21.8064
angles (deg): 90.00 90.48 90.00
Space group Cm (No. 8)
Asymmetric unit:
1 Mg 0.0000 0.0000 0.0000
2 Mg 0.0272 0.5000 0.4991
3 Cd 0.0341 0.5000 0.1384
4 Cd 0.0806 0.0000 0.2688
5 Cd 0.2043 0.0000 0.8986
6 Cd 0.2256 0.5000 0.7159
7 Cd 0.2506 0.0000 0.5377
8 Cd 0.2761 0.0000 0.0388
9 Cd 0.3035 0.5000 0.2165
10 Cd 0.3234 0.0000 0.4009
11 Cd 0.4489 0.0000 0.7682
12 Cd 0.4951 0.5000 0.6396
13 Hg 0.0511 0.5000 0.8861
14 Hg 0.0976 0.0000 0.7636
15 Hg 0.1321 0.5000 0.6028
16 Hg 0.1350 0.5000 0.0184
17 Hg 0.1409 0.0000 0.4349
18 Hg 0.1810 0.0000 0.1552
19 Hg 0.2093 0.5000 0.3256
20 Hg 0.3210 0.5000 0.8253
21 Hg 0.3470 0.0000 0.6543
22 Hg 0.3846 0.0000 0.9368
23 Hg 0.3930 0.5000 0.5195
24 Hg 0.3958 0.5000 0.1035
25 Hg 0.4332 0.0000 0.2619
26 Hg 0.4742 0.5000 0.3853



(2)
VASP calculation (GGA-PBE) on a geometry-optimized TlSn2Te4Pb structure.

Values from the calculation:
- theoretical density (g cm⁻³) = 7.1
- density of states at the Fermi level (states/eV/f.u.) = 4.71
- formation energy (no corrections) (kJ/mol of formula units) = -228

a b c (Å): 7.8814 4.5102 8.0087
angles (deg): 90.00 108.92 90.00
Space group P2/m (No. 10)
Asymmetric unit:
1 Tl 0.0000 0.0000 0.0000
2 Sn 0.0000 0.5000 0.5000
3 Sn 0.5000 0.0000 0.5000
4 Te 0.2514 0.0000 0.7367
5 Te 0.2611 0.5000 0.2669
6 Pb 0.5000 0.5000 0.0000



(3)
VASP calculation (GGA-PBE) on a geometry-optimized TiFe2Pb2 structure.

Values from the calculation:
- formation enthalpy at 0 K (eV/atom) = 0.422
- E above lowest polymorph (meV/atom) = 0
- theoretical density (g cm⁻³) = 9.7
- density of states at the Fermi level (states/eV/f.u.) = 4.41

a b c (Å): 3.3797 3.3797 17.1718
angles (deg): 90.00 90.00 90.00
Space group I4/mmm (No. 139)
Asymmetric unit:
1 Ti 0.0000 0.0000 0.0000
2 Fe 0.0000 0.5000 0.2500
3 Pb 0.0000 0.0000 0.3854